No. 1
Here is a crystal of Sr3LiCu relaxed with PBEsol from Alexandria via LeMat-Bulk. Energies are from SCAN.

Results
* ΔH_f (0 K): 0.051 eV per atom
* DOS at the Fermi energy: 0.5586 states/eV/atom

a b c (Å): 5.9024 5.9024 5.9024
angles (deg): 90.00 90.00 90.00
Closest atoms and distances in Å follow each position.
Element x y z (fractional)
Cu1 0.0000 0.0000 0.0000  6 Sr 2.95
Sr1 0.0000 0.5000 0.0000  2 Cu 2.95
Sr2 0.0000 0.0000 0.5000  2 Cu 2.95
Sr3 0.5000 0.0000 0.0000  2 Cu 2.95
Li1 0.5000 0.5000 0.5000  12 Sr 4.17

No. 2
Here is a crystal of SrLi2Cu relaxed with PBEsol from Alexandria via LeMat-Bulk. Energies are from SCAN.

Results
* polymorph energy (0 for the lowest one): 0.000 eV/atom
* ΔH_f (0 K): 0.018 eV per atom
* DOS at the Fermi energy: 0.4467 states/eV/atom

a b c (Å): 4.4785 4.4785 6.0005
angles (deg): 68.09 68.09 60.00
Closest atoms and distances in Å follow each position.
Element x y z (fractional)
Li1 0.3020 0.3020 0.0939  3 Li 2.69, 3 Cu 2.77
Li2 0.0144 0.0144 0.9568  3 Cu 2.60, 3 Li 2.69
Sr1 0.4971 0.4971 0.5088  7 Li 3.17-3.55, 4 Cu 3.25-3.37
Cu1 0.6971 0.6971 0.9088  6 Li 2.60-2.77

No. 3
Here is a crystal of Sr2LiCu relaxed with PBEsol from Alexandria via LeMat-Bulk. Energies are from SCAN.

Results
* ΔH_f (0 K): 0.047 eV per atom
* DOS at the Fermi energy: 0.7444 states/eV/atom

a b c (Å): 3.7984 3.7984 8.3917
angles (deg): 90.00 90.00 90.00
Closest atoms and distances in Å follow each position.
Element x y z (fractional)
Sr1 0.0000 0.0000 0.2123  4 Cu 3.22, 1 Sr 3.56
Sr2 0.0000 0.0000 0.7877  4 Cu 3.22, 1 Sr 3.56
Li1 0.5000 0.5000 0.5000  8 Sr 3.61, 4 Li 3.80
Cu1 0.5000 0.5000 0.0000  8 Sr 3.22

No. 4
Here is a crystal of SrLiCu relaxed with PBEsol from Alexandria via LeMat-Bulk. Energies are from SCAN.

Results
* ΔH_f (0 K): 0.042 eV per atom
* DOS at the Fermi energy: 0.4436 states/eV/atom

a b c (Å): 4.3034 4.4374 4.4374
angles (deg): 120.00 90.00 90.00
Closest atoms and distances in Å follow each position.
Element x y z (fractional)
Sr1 0.5000 0.6667 0.3333  6 Li 3.35, 6 Cu 3.35
Cu1 0.0000 0.0000 0.0000  3 Li 2.56
Li1 0.0000 0.3333 0.6667  3 Cu 2.56